Here is CeIn3Pd2 after structural relaxation from Alexandria. Energies are from PBE-GGA.

ΔE_f, eV per atom: -0.496

Unit cell a=9.303 b=9.303 c=10.850 alpha=107.91 beta=107.91 gamma=27.51
Fractional coordinates of all 18 atoms:
Ce  0.000  0.000  0.000
Ce  0.159  0.159  0.701
Ce  0.841  0.841  0.299
In  0.041  0.041  0.347
In  0.217  0.217  0.387
In  0.330  0.330  0.047
In  0.374  0.374  0.807
In  0.500  0.500  0.500
In  0.626  0.626  0.193
In  0.670  0.670  0.953
In  0.783  0.783  0.613
In  0.959  0.959  0.653
Pd  0.202  0.202  0.126
Pd  0.363  0.363  0.546
Pd  0.477  0.477  0.211
Pd  0.523  0.523  0.789
Pd  0.637  0.637  0.454
Pd  0.798  0.798  0.874


Here is CeIn2Pd3 after structural relaxation from Alexandria. Energies are from PBE-GGA.

ΔE_f, eV per atom: -0.674

Unit cell a=10.303 b=4.694 c=9.936 alpha=90.00 beta=90.00 gamma=90.00
Fractional coordinates of all 24 atoms:
Ce  0.230  0.250  0.057
Ce  0.270  0.750  0.557
Ce  0.730  0.250  0.443
Ce  0.770  0.750  0.943
In  0.018  0.250  0.614
In  0.106  0.750  0.841
In  0.394  0.250  0.341
In  0.482  0.750  0.114
In  0.518  0.250  0.886
In  0.606  0.750  0.659
In  0.894  0.250  0.159
In  0.982  0.750  0.386
Pd  0.027  0.750  0.106
Pd  0.117  0.250  0.350
Pd  0.243  0.250  0.763
Pd  0.257  0.750  0.263
Pd  0.383  0.750  0.850
Pd  0.473  0.250  0.606
Pd  0.527  0.750  0.394
Pd  0.617  0.250  0.150
Pd  0.743  0.250  0.737
Pd  0.757  0.750  0.237
Pd  0.883  0.750  0.650
Pd  0.973  0.250  0.894


Here is Ce4In21Pd10 after structural relaxation from Alexandria. Energies are from PBE-GGA.

ΔE_f, eV per atom: -0.500

Unit cell a=11.930 b=11.930 c=17.301 alpha=123.49 beta=123.49 gamma=22.18
Fractional coordinates of all 35 atoms:
Ce  0.122  0.122  0.332
Ce  0.229  0.229  0.827
Ce  0.771  0.771  0.173
Ce  0.878  0.878  0.668
In  0.010  0.010  0.094
In  0.064  0.064  0.797
In  0.117  0.117  0.554
In  0.201  0.201  0.005
In  0.252  0.252  0.294
In  0.299  0.299  0.500
In  0.370  0.370  0.802
In  0.384  0.384  0.295
In  0.399  0.399  0.003
In  0.457  0.457  0.631
In  0.500  0.500  0.500
In  0.543  0.543  0.369
In  0.601  0.601  0.997
In  0.616  0.616  0.705
In  0.630  0.630  0.198
In  0.701  0.701  0.500
In  0.748  0.748  0.706
In  0.799  0.799  0.995
In  0.883  0.883  0.446
In  0.936  0.936  0.203
In  0.990  0.990  0.906
Pd  0.024  0.024  0.611
Pd  0.137  0.137  0.107
Pd  0.251  0.251  0.616
Pd  0.345  0.345  0.112
Pd  0.494  0.494  0.813
Pd  0.506  0.506  0.187
Pd  0.655  0.655  0.888
Pd  0.749  0.749  0.384
Pd  0.863  0.863  0.893
Pd  0.976  0.976  0.389


Here is Ce2InPd8 after structural relaxation from Alexandria. Energies are from PBE-GGA.

ΔE_f, eV per atom: -0.557

Unit cell a=8.156 b=8.156 c=8.156 alpha=145.74 beta=137.17 gamma=55.96
Fractional coordinates of all 11 atoms:
Ce  0.181  0.181  0.000
Ce  0.819  0.819  0.000
In  0.500  0.500  0.000
Pd  0.093  0.355  0.739
Pd  0.248  0.000  0.248
Pd  0.321  0.821  0.500
Pd  0.384  0.645  0.739
Pd  0.616  0.355  0.261
Pd  0.679  0.179  0.500
Pd  0.752  0.000  0.752
Pd  0.907  0.645  0.261


Here is CeIn2Pd7 after structural relaxation from Alexandria. Energies are from PBE-GGA.

ΔE_f, eV per atom: -0.194

Unit cell a=7.725 b=7.725 c=4.478 alpha=90.00 beta=90.00 gamma=122.90
Fractional coordinates of all 10 atoms:
Ce  0.000  0.000  0.000
In  0.300  0.700  0.500
In  0.700  0.300  0.500
Pd  0.078  0.287  0.500
Pd  0.193  0.807  0.000
Pd  0.287  0.078  0.500
Pd  0.500  0.500  0.500
Pd  0.713  0.922  0.500
Pd  0.807  0.193  0.000
Pd  0.922  0.713  0.500


Here is CeIn2Pd3 after structural relaxation from Alexandria. Energies are from PBE-GGA.

ΔE_f, eV per atom: -0.504

Unit cell a=12.248 b=12.131 c=4.605 alpha=80.55 beta=77.68 gamma=21.77
Fractional coordinates of all 12 atoms:
Ce  0.144  0.144  0.856
Ce  0.856  0.856  0.144
In  0.228  0.772  0.772
In  0.250  0.250  0.250
In  0.750  0.750  0.750
In  0.772  0.228  0.228
Pd  0.223  0.632  0.368
Pd  0.320  0.320  0.680
Pd  0.368  0.777  0.223
Pd  0.632  0.223  0.777
Pd  0.680  0.680  0.320
Pd  0.777  0.368  0.632


Here is Ce2InPd after structural relaxation from Alexandria. Energies are from PBE-GGA.

ΔE_f, eV per atom: -0.353

Unit cell a=5.275 b=5.275 c=5.275 alpha=60.00 beta=60.00 gamma=60.00
Fractional coordinates of all 4 atoms:
Ce  0.250  0.250  0.250
Ce  0.750  0.750  0.750
In  0.000  0.000  0.000
Pd  0.500  0.500  0.500


Here is Ce2In3Pd after structural relaxation from Alexandria. Energies are from PBE-GGA.

ΔE_f, eV per atom: -0.498

Unit cell a=3.611 b=4.922 c=8.508 alpha=90.00 beta=90.00 gamma=90.00
Fractional coordinates of all 6 atoms:
Ce  0.000  0.000  0.000
Ce  0.000  0.500  0.462
In  0.500  0.000  0.632
In  0.500  0.500  0.150
In  0.500  0.500  0.810
Pd  0.500  0.000  0.304


Here is CeIn9Pd2 after structural relaxation from Alexandria. Energies are from PBE-GGA.

ΔE_f, eV per atom: -0.185

Unit cell a=9.660 b=9.660 c=9.660 alpha=98.15 beta=98.15 gamma=135.77
Fractional coordinates of all 24 atoms:
Ce  0.375  0.625  0.750
Ce  0.625  0.375  0.250
In  0.100  0.548  0.311
In  0.100  0.790  0.552
In  0.125  0.875  0.250
In  0.210  0.263  0.311
In  0.210  0.900  0.948
In  0.263  0.210  0.811
In  0.263  0.452  0.052
In  0.452  0.263  0.552
In  0.452  0.900  0.189
In  0.548  0.100  0.811
In  0.548  0.737  0.448
In  0.737  0.548  0.948
In  0.737  0.790  0.189
In  0.790  0.100  0.052
In  0.790  0.737  0.689
In  0.875  0.125  0.750
In  0.900  0.210  0.448
In  0.900  0.452  0.689
Pd  0.000  0.000  0.000
Pd  0.000  0.000  0.500
Pd  0.000  0.500  0.000
Pd  0.500  0.000  0.500


Here is Ce3In4Pd4 after structural relaxation from Alexandria. Energies are from PBE-GGA.

ΔE_f, eV per atom: -0.636

Unit cell a=8.722 b=8.722 c=8.722 alpha=151.83 beta=125.80 gamma=62.19
Fractional coordinates of all 11 atoms:
Ce  0.000  0.000  0.000
Ce  0.384  0.884  0.500
Ce  0.616  0.116  0.500
In  0.024  0.328  0.696
In  0.368  0.672  0.696
In  0.632  0.328  0.304
In  0.976  0.672  0.304
Pd  0.227  0.227  0.000
Pd  0.311  0.500  0.811
Pd  0.689  0.500  0.189
Pd  0.773  0.773  0.000


Here is CeIn2Pd2 after structural relaxation from Alexandria. Energies are from PBE-GGA.

ΔE_f, eV per atom: -0.470

Unit cell a=7.127 b=7.127 c=6.739 alpha=106.74 beta=106.74 gamma=42.46
Fractional coordinates of all 10 atoms:
Ce  0.122  0.878  0.750
Ce  0.878  0.122  0.250
In  0.241  0.479  0.029
In  0.479  0.241  0.529
In  0.521  0.759  0.471
In  0.759  0.521  0.971
Pd  0.067  0.319  0.639
Pd  0.319  0.067  0.139
Pd  0.681  0.933  0.861
Pd  0.933  0.681  0.361


Here is CeIn4Pd4 after structural relaxation from Alexandria. Energies are from PBE-GGA.

ΔE_f, eV per atom: -0.382

Unit cell a=8.860 b=8.860 c=5.395 alpha=90.00 beta=90.00 gamma=90.00
Fractional coordinates of all 18 atoms:
Ce  0.250  0.250  0.250
Ce  0.750  0.750  0.750
In  0.092  0.648  0.162
In  0.148  0.908  0.662
In  0.352  0.592  0.662
In  0.408  0.852  0.162
In  0.592  0.148  0.838
In  0.648  0.408  0.338
In  0.852  0.092  0.338
In  0.908  0.352  0.838
Pd  0.036  0.614  0.665
Pd  0.114  0.964  0.165
Pd  0.386  0.536  0.165
Pd  0.464  0.886  0.665
Pd  0.536  0.114  0.335
Pd  0.614  0.464  0.835
Pd  0.886  0.036  0.835
Pd  0.964  0.386  0.335